# 1
Ca5Tc: optimized geometry, PBE-GGA.

Results
Mass density ... 2.07 g/cm³
Energy of formation from the pure elements ... 0.99 eV per atom
E ... -14.45 eV per formula unit
Space group ... P6/mmm
Crystal system ... hexagonal
Energy relative to the lowest polymorph listed for this composition ... 0.687 eV/atom

a = 6.615 Å, b = 6.615 Å, c = 6.313 Å
α = 90.00°, β = 90.00°, γ = 120.00°
Fractional coordinates of all 6 atoms:
Ca 0.000 0.500 0.000
Ca 0.333 0.667 0.500
Ca 0.500 0.000 0.000
Ca 0.500 0.500 0.000
Ca 0.667 0.333 0.500
Tc 0.000 0.000 0.500

# 2
CaTc4: optimized geometry, PBE-GGA.

Results
Mass density ... 7.54 g/cm³
Energy of formation from the pure elements ... 0.20 eV per atom
E ... -42.48 eV per formula unit
Space group ... I4/mmm
Crystal system ... tetragonal
Energy relative to the lowest polymorph listed for this composition ... 0.000 eV/atom

a = 5.871 Å, b = 5.871 Å, c = 5.871 Å
α = 136.36°, β = 136.36°, γ = 63.42°
Fractional coordinates of all 5 atoms:
Ca 0.000 0.000 0.000
Tc 0.250 0.750 0.500
Tc 0.374 0.374 0.000
Tc 0.626 0.626 0.000
Tc 0.750 0.250 0.500

# 3
CaTc2: optimized geometry, PBE-GGA.

Results
Mass density ... 5.98 g/cm³
Energy of formation from the pure elements ... 0.39 eV per atom
E ... -21.56 eV per formula unit
Space group ... Cmcm
Crystal system ... orthorhombic
Energy relative to the lowest polymorph listed for this composition ... 0.143 eV/atom

a = 10.944 Å, b = 10.944 Å, c = 4.039 Å
α = 90.00°, β = 90.00°, γ = 164.27°
Fractional coordinates of all 6 atoms:
Ca 0.177 0.823 0.750
Ca 0.823 0.177 0.250
Tc 0.071 0.929 0.250
Tc 0.463 0.537 0.250
Tc 0.537 0.463 0.750
Tc 0.929 0.071 0.750

# 4
Ca2Tc: optimized geometry, PBE-GGA.

Results
Mass density ... 3.56 g/cm³
Energy of formation from the pure elements ... 0.56 eV per atom
E ... -12.70 eV per formula unit
Space group ... I4/mmm
Crystal system ... tetragonal
Energy relative to the lowest polymorph listed for this composition ... 0.320 eV/atom

a = 7.400 Å, b = 7.400 Å, c = 7.400 Å
α = 153.07°, β = 153.07°, γ = 38.45°
Fractional coordinates of all 3 atoms:
Ca 0.131 0.131 0.000
Ca 0.869 0.869 0.000
Tc 0.500 0.500 0.000

# 5
CaTc2: optimized geometry, PBE-GGA.

Results
Mass density ... 6.05 g/cm³
Energy of formation from the pure elements ... 0.56 eV per atom
E ... -21.06 eV per formula unit
Space group ... I4_1/amd
Crystal system ... tetragonal
Energy relative to the lowest polymorph listed for this composition ... 0.308 eV/atom

a = 7.761 Å, b = 7.761 Å, c = 7.761 Å
α = 148.17°, β = 148.17°, γ = 45.64°
Fractional coordinates of all 6 atoms:
Ca 0.375 0.625 0.750
Ca 0.625 0.375 0.250
Tc 0.041 0.791 0.250
Tc 0.209 0.959 0.250
Tc 0.791 0.041 0.750
Tc 0.959 0.209 0.750

# 6
Ca7Tc6: optimized geometry, PBE-GGA.

Results
Mass density ... 4.23 g/cm³
Energy of formation from the pure elements ... 1.08 eV per atom
E ... -62.16 eV per formula unit
Space group ... R-3m
Crystal system ... trigonal

a = 11.518 Å, b = 11.518 Å, c = 11.518 Å
α = 30.13°, β = 30.13°, γ = 30.13°
Fractional coordinates of all 13 atoms:
Ca 0.000 0.000 0.000
Ca 0.072 0.072 0.570
Ca 0.072 0.570 0.072
Ca 0.430 0.928 0.928
Ca 0.570 0.072 0.072
Ca 0.928 0.430 0.928
Ca 0.928 0.928 0.430
Tc 0.167 0.167 0.167
Tc 0.395 0.395 0.395
Tc 0.462 0.462 0.462
Tc 0.538 0.538 0.538
Tc 0.605 0.605 0.605
Tc 0.833 0.833 0.833

# 7
CaTc3: optimized geometry, PBE-GGA.

Results
Mass density ... 7.70 g/cm³
Energy of formation from the pure elements ... 0.43 eV per atom
E ... -31.37 eV per formula unit
Space group ... P4/mmm
Crystal system ... tetragonal
Energy relative to the lowest polymorph listed for this composition ... 0.078 eV/atom

a = 3.165 Å, b = 3.165 Å, c = 7.189 Å
α = 90.00°, β = 90.00°, γ = 90.00°
Fractional coordinates of all 4 atoms:
Ca 0.000 0.000 0.000
Tc 0.000 0.000 0.500
Tc 0.500 0.500 0.308
Tc 0.500 0.500 0.692

# 8
CaTc3: optimized geometry, PBE-GGA.

Results
Mass density ... 7.12 g/cm³
Energy of formation from the pure elements ... 0.35 eV per atom
E ... -31.68 eV per formula unit
Space group ... Pmmn
Crystal system ... orthorhombic
Energy relative to the lowest polymorph listed for this composition ... 0.000 eV/atom

a = 3.190 Å, b = 6.196 Å, c = 7.881 Å
α = 90.00°, β = 90.00°, γ = 90.00°
Fractional coordinates of all 8 atoms:
Ca 0.250 0.250 0.064
Ca 0.750 0.750 0.936
Tc 0.250 0.544 0.618
Tc 0.250 0.750 0.286
Tc 0.250 0.956 0.618
Tc 0.750 0.044 0.382
Tc 0.750 0.250 0.714
Tc 0.750 0.456 0.382

# 9
CaTc3: optimized geometry, PBE-GGA.

Results
Mass density ... 7.62 g/cm³
Energy of formation from the pure elements ... 0.46 eV per atom
E ... -31.26 eV per formula unit
Space group ... C2/m
Crystal system ... monoclinic
Energy relative to the lowest polymorph listed for this composition ... 0.106 eV/atom

a = 5.047 Å, b = 5.047 Å, c = 5.222 Å
α = 106.28°, β = 106.28°, γ = 34.94°
Fractional coordinates of all 4 atoms:
Ca 0.000 0.000 0.000
Tc 0.217 0.217 0.676
Tc 0.500 0.500 0.500
Tc 0.783 0.783 0.324

# 10
Ca2Tc: optimized geometry, PBE-GGA.

Results
Mass density ... 4.19 g/cm³
Energy of formation from the pure elements ... 0.65 eV per atom
E ... -12.41 eV per formula unit
Space group ... P-3m1
Crystal system ... trigonal
Energy relative to the lowest polymorph listed for this composition ... 0.416 eV/atom

a = 5.176 Å, b = 5.176 Å, c = 3.041 Å
α = 90.00°, β = 90.00°, γ = 120.00°
Fractional coordinates of all 3 atoms:
Ca 0.333 0.667 0.180
Ca 0.667 0.333 0.820
Tc 0.000 0.000 0.500

# 11
CaTc3: optimized geometry, PBE-GGA.

Results
Mass density ... 8.01 g/cm³
Energy of formation from the pure elements ... 0.44 eV per atom
E ... -31.33 eV per formula unit
Space group ... P4/mmm
Crystal system ... tetragonal
Energy relative to the lowest polymorph listed for this composition ... 0.089 eV/atom

a = 2.850 Å, b = 2.850 Å, c = 8.519 Å
α = 90.00°, β = 90.00°, γ = 90.00°
Fractional coordinates of all 4 atoms:
Ca 0.000 0.000 0.000
Tc 0.000 0.000 0.500
Tc 0.500 0.500 0.292
Tc 0.500 0.500 0.708

# 12
CaTc3: optimized geometry, PBE-GGA.

Results
Mass density ... 8.35 g/cm³
Energy of formation from the pure elements ... 0.70 eV per atom
E ... -30.30 eV per formula unit
Space group ... Cmmm
Crystal system ... orthorhombic
Energy relative to the lowest polymorph listed for this composition ... 0.347 eV/atom

a = 5.384 Å, b = 5.384 Å, c = 2.668 Å
α = 90.00°, β = 90.00°, γ = 120.75°
Fractional coordinates of all 4 atoms:
Ca 0.000 0.000 0.000
Tc 0.000 0.500 0.500
Tc 0.500 0.000 0.500
Tc 0.500 0.500 0.000